Record 1
Here is Ho4SiO3 after structural relaxation from OQMD. Energies are from PBE.

Total DFT energy (no corrections) = -0.256 hartree per atom

a = 6.161 Å, b = 6.161 Å, c = 6.161 Å
α = 130.92°, β = 130.92°, γ = 71.94°
Fractional positions:
Ho1 0.000 0.500 0.500
Ho2 0.234 0.234 0.000
Ho3 0.500 0.000 0.500
Ho4 0.766 0.766 0.000
Si1 0.500 0.500 0.000
O1 0.000 0.000 0.000
O2 0.250 0.750 0.500
O3 0.750 0.250 0.500



Record 2
Here is La3CdO after structural relaxation from OQMD. Energies are from PBE.

Total DFT energy (no corrections) = -0.200 hartree per atom

a = 5.069 Å, b = 5.069 Å, c = 5.069 Å
α = 90.00°, β = 90.00°, γ = 90.00°
Fractional positions:
La1 0.000 0.000 0.500
La2 0.000 0.500 0.000
La3 0.500 0.000 0.000
Cd1 0.500 0.500 0.500
O1 0.000 0.000 0.000



Record 3
Here is Na2Re2O5 after structural relaxation from OQMD. Energies are from PBE.

Total DFT energy (no corrections) = -0.265 hartree per atom

a = 3.867 Å, b = 3.867 Å, c = 6.866 Å
α = 90.00°, β = 90.00°, γ = 90.00°
Fractional positions:
Na1 0.000 0.000 0.000
Na2 0.000 0.000 0.500
Re1 0.500 0.500 0.203
Re2 0.500 0.500 0.797
O1 0.000 0.500 0.206
O2 0.000 0.500 0.794
O3 0.500 0.000 0.206
O4 0.500 0.000 0.794
O5 0.500 0.500 0.500



Record 4
Here is KTaAuSe2S after structural relaxation from OQMD. Energies are from PBE.

Total DFT energy (no corrections) = -0.189 hartree per atom

a = 7.901 Å, b = 7.901 Å, c = 9.931 Å
α = 90.00°, β = 90.00°, γ = 152.83°
Fractional positions:
K1 0.249 0.751 0.750
K2 0.751 0.249 0.250
Ta1 0.000 0.000 0.000
Ta2 0.000 0.000 0.500
Au1 0.448 0.552 0.250
Au2 0.552 0.448 0.750
Se1 0.376 0.624 0.023
Se2 0.376 0.624 0.477
Se3 0.624 0.376 0.523
Se4 0.624 0.376 0.977
S1 0.064 0.936 0.250
S2 0.936 0.064 0.750



Record 5
Here is NdY2Sb3 after structural relaxation from OQMD. Energies are from PBE.

Total DFT energy (no corrections) = -0.227 hartree per atom

a = 4.433 Å, b = 4.433 Å, c = 10.859 Å
α = 90.00°, β = 90.00°, γ = 120.00°
Fractional positions:
Nd1 0.000 0.000 0.000
Y1 0.333 0.667 0.337
Y2 0.667 0.333 0.663
Sb1 0.000 0.000 0.500
Sb2 0.333 0.667 0.827
Sb3 0.667 0.333 0.173



Record 6
Here is CdCu17 after structural relaxation from OQMD. Energies are from PBE.

Total DFT energy (no corrections) = -0.128 hartree per atom

a = 5.093 Å, b = 5.093 Å, c = 31.274 Å
α = 90.00°, β = 90.00°, γ = 120.00°
Fractional positions:
Cd1 0.333 0.667 0.294
Cd2 0.667 0.333 0.706
Cu1 0.000 0.000 0.000
Cu2 0.000 0.000 0.199
Cu3 0.000 0.000 0.801
Cu4 0.000 0.500 0.000
Cu5 0.001 0.501 0.200
Cu6 0.166 0.333 0.933
Cu7 0.166 0.834 0.933
Cu8 0.167 0.333 0.734
Cu9 0.167 0.334 0.133
Cu10 0.167 0.833 0.133
Cu11 0.167 0.833 0.734
Cu12 0.333 0.166 0.067
Cu13 0.333 0.167 0.266
Cu14 0.333 0.667 0.066
Cu15 0.333 0.667 0.867
Cu16 0.334 0.167 0.867
Cu17 0.499 0.501 0.200
Cu18 0.499 0.999 0.200
Cu19 0.500 0.000 0.000
Cu20 0.500 0.500 0.000
Cu21 0.501 0.001 0.800
Cu22 0.501 0.499 0.800
Cu23 0.666 0.833 0.133
Cu24 0.667 0.333 0.133
Cu25 0.667 0.333 0.934
Cu26 0.667 0.833 0.734
Cu27 0.667 0.834 0.933
Cu28 0.833 0.167 0.266
Cu29 0.833 0.167 0.867
Cu30 0.833 0.666 0.867
Cu31 0.833 0.667 0.266
Cu32 0.834 0.166 0.067
Cu33 0.834 0.667 0.067
Cu34 0.999 0.499 0.800